1.
Mn3TcPd12: relaxed, PBE.

abc: 3.918 3.918 15.766
angles: 90.00 90.00 90.00
Sites, in units of the cell vectors:
Mn: 0.000 0.000 0.000
Mn: 0.000 0.000 0.247
Mn: 0.000 0.000 0.753
Tc: 0.000 0.000 0.500
Pd: 0.000 0.500 0.125
Pd: 0.000 0.500 0.378
Pd: 0.000 0.500 0.622
Pd: 0.000 0.500 0.875
Pd: 0.500 0.000 0.125
Pd: 0.500 0.000 0.378
Pd: 0.500 0.000 0.622
Pd: 0.500 0.000 0.875
Pd: 0.500 0.500 0.000
Pd: 0.500 0.500 0.251
Pd: 0.500 0.500 0.500
Pd: 0.500 0.500 0.749

As for the formation energy: -206 kJ/mol of formula units. The symmetry is No. 123.

---

2.
HfTaNb2N: relaxed, PBE.

abc: 4.296 4.296 4.483
angles: 90.00 90.00 90.00
Sites, in units of the cell vectors:
Hf: 0.000 0.000 0.000
Ta: 0.500 0.500 0.000
Nb: 0.000 0.500 0.500
Nb: 0.500 0.000 0.500
N: 0.000 0.000 0.500

The calculation puts the raw formation energy at -484 meV/atom. The symmetry is No. 123. Its distance to the lowest polymorph of the same formula is 4 meV per atom.